VASP calculation (PBE) on a relaxed structure of Pu2Si3Ir2.

Structure (POSCAR):
```
Pu2Si3Ir2
1.0
11.041 0.000 0.000
0.000 3.562 0.000
-3.810 0.000 5.661
Pu Si Ir
4 6 4
Cartesian
0.602 0.000 2.096
1.109 1.781 3.565
6.122 1.781 2.096
6.630 0.000 3.565
-1.905 1.781 2.830
-2.707 1.781 5.362
4.417 0.000 0.299
3.616 0.000 2.830
2.814 0.000 5.362
9.938 1.781 0.299
-1.396 0.000 4.536
3.106 1.781 1.125
4.125 1.781 4.536
8.627 0.000 1.125
```

Results
Offset from the most stable computed form = 0.2006 eV per atom
Crystal system = monoclinic
ΔE_f (raw) = -3.23 eV/f.u.